Entry 1:
The following is a PBE calculation of a geometry-optimized Ti6Al2P structure, from the Alexandria database.

Its total energy is -7.252 eV per atom. As for the formation energy: -0.5560 eV/atom.

The structure belongs to space group P-62m (No. 189); the cell edges are 7.1442, 7.1442 and 3.3146 Å and the angles 90.00°, 90.00° and 120.00°. The inequivalent atoms are Ti at (0.0000, 0.3861, 0.0000), Ti at (0.0000, 0.7431, 0.5000), Al at (0.3333, 0.6667, 0.5000) and P at (0.0000, 0.0000, 0.0000).

Entry 2:
The following is a PBE calculation of a geometry-optimized TiAl2P2 structure, from the Alexandria database.

Its total energy is -5.241 eV per atom. As for the formation energy: -0.0009 eV/atom. Its energy above the most stable polymorph in this dataset is 68 meV/atom.

The structure belongs to space group I4/mmm (No. 139); the cell edges are 4.702, 4.702 and 7.764 Å and the angles 90.00°, 90.00° and 90.00°. The inequivalent atoms are Ti at (0.000, 0.000, 0.000), Al at (0.000, 0.000, 0.340) and P at (0.000, 0.500, 0.250).

Entry 3:
The following is a PBE calculation of a geometry-optimized Ti3AlP structure, from the Alexandria database.

Its total energy is -6.918 eV per atom. As for the formation energy: -0.3502 eV/atom. Its energy above the most stable polymorph in this dataset is 0 meV/atom.

The structure belongs to space group C2/m (No. 12); the cell edges are 11.700, 4.625 and 6.851 Å and the angles 90.00°, 98.91° and 90.00°. The inequivalent atoms are Ti at (0.039, 0.000, 0.298), Ti at (0.161, 0.000, 0.976), Ti at (0.216, 0.500, 0.646), Al at (0.135, 0.500, 0.184) and P at (0.155, 0.000, 0.619).

Entry 4:
The following is a PBE calculation of a geometry-optimized TiAl2P2 structure, from the Alexandria database.

Its total energy is -5.309 eV per atom. As for the formation energy: -0.0693 eV/atom. Its energy above the most stable polymorph in this dataset is 0 meV/atom.

The structure belongs to space group P4/mbm (No. 127); the cell edges are 6.859, 6.859 and 3.302 Å and the angles 90.00°, 90.00° and 90.00°. The inequivalent atoms are Ti at (0.000, 0.000, 0.000), Al at (0.132, 0.368, 0.000) and P at (0.177, 0.677, 0.500).

Question: Which formula does entry 2 have?
Answer: TiAl2P2